Entry 1:
AlHg2W | Alexandria | PBE | optimized geometry; energy of formation = 51.4 kJ/mol of atoms; calculated density = 13.36 Mg/m³; V = 76.1 Å³/f.u.; space-group type = P4mm
1.0
3.260 0.000 0.000
0.000 3.260 0.000
0.000 0.000 7.158
Al Hg W
1 2 1
direct
0.000 0.000 0.000
0.000 0.000 0.559
0.500 0.500 0.264
0.500 0.500 0.826

=====

Entry 2:
Tc3Mo2 | Alexandria | PBE | optimized geometry; energy of formation = 12.0 kJ/mol of atoms; calculated density = 10.59 Mg/m³; V = 76.2 Å³/f.u.; space-group type = Fdd2
1.0
0.000 6.541 2.471
4.715 0.000 2.471
4.715 6.541 0.000
Tc Mo
6 4
direct
0.000 0.000 0.000
0.250 0.250 0.250
0.430 0.511 0.373
0.511 0.430 0.686
0.564 0.877 0.739
0.877 0.564 0.820
0.094 0.768 0.301
0.413 0.949 0.482
0.768 0.094 0.837
0.949 0.413 0.156

=====

Entry 3:
LaMn2Ru | Alexandria | PBE | optimized geometry; energy of formation = 24.1 kJ/mol of atoms; calculated density = 7.92 Mg/m³; V = 73.3 Å³/f.u.; space-group type = P4/mmm
1.0
3.145 0.000 0.000
0.000 3.145 0.000
0.000 0.000 7.417
La Mn Ru
1 2 1
direct
0.000 0.000 0.000
0.500 0.500 0.317
0.500 0.500 0.683
0.000 0.000 0.500